Below is an optimized crystal structure of HfTc3S, with properties calculated at the GGA-PBE level.

The value obtained for the uncorrected formation energy is 2.17 eV/atom.

It has space group Pm-3m (No. 221), with a = 4.815 Å, b = 4.815 Å, c = 4.815 Å, α = 90.00°, β = 90.00° and γ = 90.00°. The asymmetric unit holds Hf at (0.000, 0.000, 0.000), Tc at (0.000, 0.000, 0.500) and S at (0.500, 0.500, 0.500).



Below is an optimized crystal structure of Hf3TcS, with properties calculated at the GGA-PBE level.

The value obtained for the uncorrected formation energy is -0.69 eV/atom.

It has space group Pnma (No. 62), with a = 8.205 Å, b = 3.409 Å, c = 13.744 Å, α = 90.00°, β = 90.00° and γ = 90.00°. The asymmetric unit holds Hf at (0.024, 0.250, 0.119), Hf at (0.151, 0.250, 0.551), Hf at (0.197, 0.750, 0.284), Tc at (0.076, 0.750, 0.696) and S at (0.177, 0.250, 0.955).



Below is an optimized crystal structure of HfTcS, with properties calculated at the GGA-PBE level.

The value obtained for the uncorrected formation energy is -0.56 eV/atom.

It has space group R-3m (No. 166, hexagonal axes), with a = 3.9306 Å, b = 3.9306 Å, c = 30.9807 Å, α = 90.00°, β = 90.00° and γ = 120.00°. The asymmetric unit holds Hf at (0.0000, 0.0000, 0.0691), Tc at (0.0000, 0.0000, 0.3397) and S at (0.0000, 0.0000, 0.2240).



no.,E (eV per cell)
1,-34.3
2,-191.3
3,-156.8